[1]
A geometry-optimized TbLu2Re structure. Source: Alexandria via LeMat-Bulk, functional PBE.

a b c (Å): 3.1767 3.1767 33.5040
angles (deg): 90.00 90.00 120.00
Space group R-3m (No. 166, hexagonal axes)
Unique sites:
Tb1 0.0000 0.0000 0.0000 (multiplicity 3)
Lu1 0.0000 0.0000 0.4204 (multiplicity 6)
Re1 0.0000 0.0000 0.5000 (multiplicity 3)

Values from the calculation:
Formation energy from the elements = 735 meV per atom
VASP energy = -69.54 eV/cell
Magnetization = 0.0 Bohr magnetons per cell


[2]
A geometry-optimized TbLuRe4 structure. Source: Alexandria via LeMat-Bulk, functional PBE.

a b c (Å): 7.636 7.636 7.636
angles (deg): 90.00 90.00 90.00
Space group F-43m (No. 216)
Unique sites:
Tb1 0.000 0.000 0.000 (multiplicity 4)
Lu1 0.250 0.250 0.750 (multiplicity 4)
Re1 0.125 0.125 0.375 (multiplicity 16)

Values from the calculation:
Formation energy from the elements = -206 meV per atom
VASP energy = -240.72 eV/cell
Magnetization = 0.0 Bohr magnetons per cell